NaSO3: relaxed, PBE.

Computed properties:
Raw formation energy (eV/atom): -1.42
Fermi-level density of states (states/eV per atom): 0.11
Volume (A^3/atom): 13.9
Size of the total moment (μB/f.u.): 0.0

a = 5.8220 Å, b = 8.7860 Å, c = 6.9128 Å
α = 128.21°, β = 90.00°, γ = 90.00°
Last column: nearest neighbours and their distance in Å.
Positions (direct):
Na 0.7500 0.8443 0.5239  5 O 2.43-2.50
Na 0.2500 0.1557 0.4761  5 O 2.43-2.50
Na 0.2500 0.6557 0.9761  5 O 2.43-2.50
Na 0.7500 0.3443 0.0239  5 O 2.43-2.50
S 0.2500 0.5707 0.3843  3 O 1.50
S 0.7500 0.4293 0.6157  3 O 1.50
S 0.7500 0.9293 0.1157  3 O 1.50
S 0.2500 0.0707 0.8843  3 O 1.50
O 0.2499 0.7104 0.6609  1 S 1.50
O 0.7501 0.2896 0.3391  1 S 1.50
O 0.7499 0.7896 0.8391  1 S 1.50
O 0.2501 0.2104 0.1609  1 S 1.50
O 0.4605 0.5907 0.2772  1 S 1.50
O 0.5395 0.4093 0.7228  1 S 1.50
O 0.9605 0.9093 0.2228  1 S 1.50
O 0.0395 0.0907 0.7772  1 S 1.50
O 0.0398 0.5908 0.2771  1 S 1.50
O 0.9602 0.4092 0.7229  1 S 1.50
O 0.5398 0.9092 0.2229  1 S 1.50
O 0.4602 0.0908 0.7771  1 S 1.50